Record 1
CrW7, relaxed, DFT GGA-PBE; symmetry = R-3m (166); calculated formation energy = 0.035 eV per atom; total energy = -12.502 eV/atom; ΔE to the lowest computed polymorph = 0 meV per atom; D(E_F) = 10.0 states/eV per cell
1.0
4.457 2.573 3.651
-4.457 2.573 3.651
0.000 -5.146 3.651
Cr W
2 14
Cartesian
0.000 0.000 1.365
0.000 0.000 9.588
0.000 -2.600 3.189
-2.247 -1.297 5.027
-2.252 1.300 3.189
-2.252 -1.300 7.764
0.000 0.000 4.086
0.000 -2.595 5.926
-2.247 1.297 5.926
2.247 -1.297 5.027
0.000 2.595 5.027
0.000 0.000 6.867
2.252 1.300 3.189
2.252 -1.300 7.764
2.247 1.297 5.926
0.000 2.600 7.764



Record 2
CrW2, relaxed, DFT GGA-PBE; symmetry = P-3m1 (164); calculated formation energy = 0.075 eV per atom; total energy = -11.768 eV/atom; ΔE to the lowest computed polymorph = 22 meV per atom; D(E_F) = 1.7 states/eV per cell
1.0
4.363 0.000 0.000
-2.182 3.779 0.000
0.000 0.000 2.700
Cr W
1 2
Cartesian
0.000 0.000 0.000
0.000 2.519 0.879
2.182 1.260 1.822



Record 3
Cr4W, relaxed, DFT GGA-PBE; symmetry = C2/m (12); calculated formation energy = 0.064 eV per atom; total energy = -10.225 eV/atom; ΔE to the lowest computed polymorph = 12 meV per atom; D(E_F) = 3.0 states/eV per cell
1.0
6.025 -2.053 0.000
6.025 2.053 0.000
-0.359 0.000 2.553
Cr W
4 1
Cartesian
1.139 0.000 1.030
3.493 0.000 0.519
8.198 0.000 2.034
10.551 0.000 1.523
6.025 0.000 0.000



Record 4
CrW3, relaxed, DFT GGA-PBE; symmetry = I4/mmm (139); calculated formation energy = 0.390 eV per atom; total energy = -11.730 eV/atom; D(E_F) = 7.2 states/eV per cell
1.0
-1.864 1.864 8.939
1.864 -1.864 8.939
1.864 1.864 -8.939
Cr W
2 6
Cartesian
0.000 0.000 2.254
0.000 0.000 15.625
1.864 0.000 0.000
1.864 0.000 4.470
0.000 0.000 6.717
0.000 1.864 0.000
0.000 0.000 11.162
0.000 1.864 4.470



Record 5
CrW2, relaxed, DFT GGA-PBE; symmetry = P6_3/mmc (194); calculated formation energy = 0.654 eV per atom; total energy = -11.189 eV/atom; ΔE to the lowest computed polymorph = 600 meV per atom; D(E_F) = 10.3 states/eV per cell
1.0
5.260 0.000 0.000
-2.630 4.555 0.000
0.000 0.000 8.397
Cr W
4 8
Cartesian
0.000 3.037 0.508
0.000 3.037 3.690
2.630 1.518 4.707
2.630 1.518 7.889
0.000 0.000 0.000
0.000 0.000 4.199
0.000 1.554 6.298
-1.284 3.778 6.298
1.346 0.777 2.099
1.284 3.778 6.298
3.914 0.777 2.099
2.630 3.001 2.099



Record 6
CrW2, relaxed, DFT GGA-PBE; symmetry = Pa-3 (205); calculated formation energy = 1.201 eV per atom; total energy = -10.642 eV/atom; ΔE to the lowest computed polymorph = 1148 meV per atom; D(E_F) = 8.2 states/eV per cell
1.0
5.827 0.000 0.000
0.000 5.827 0.000
0.000 0.000 5.827
Cr W
4 8
Cartesian
0.000 0.000 0.000
0.000 2.914 2.914
2.914 0.000 2.914
2.914 2.914 0.000
0.807 3.721 5.020
0.807 5.020 2.106
2.106 0.807 5.020
2.106 2.106 2.106
3.721 3.721 3.721
3.721 5.020 0.807
5.020 0.807 3.721
5.020 2.106 0.807



Record 7
Cr4W, relaxed, DFT GGA-PBE; symmetry = I4/mmm (139); calculated formation energy = 0.676 eV per atom; total energy = -9.613 eV/atom; ΔE to the lowest computed polymorph = 624 meV per atom; D(E_F) = 7.1 states/eV per cell
1.0
-1.873 1.873 4.787
1.873 -1.873 4.787
1.873 1.873 -4.787
Cr W
4 1
Cartesian
0.000 0.000 1.095
1.873 0.000 2.394
0.000 1.873 2.394
0.000 0.000 8.480
0.000 0.000 4.787



Record 8
CrW2, relaxed, DFT GGA-PBE; symmetry = P-3m1 (164); calculated formation energy = 0.426 eV per atom; total energy = -11.417 eV/atom; ΔE to the lowest computed polymorph = 372 meV per atom; D(E_F) = 2.0 states/eV per cell
1.0
2.913 0.000 0.000
-1.456 2.522 0.000
0.000 0.000 6.181
Cr W
1 2
Cartesian
0.000 0.000 0.000
0.000 1.682 4.212
1.456 0.841 1.970



Record 9
CrW3, relaxed, DFT GGA-PBE; symmetry = Pm-3n (223); calculated formation energy = 0.099 eV per atom; total energy = -12.022 eV/atom; D(E_F) = 3.2 states/eV per cell
1.0
4.965 0.000 0.000
0.000 4.965 0.000
0.000 0.000 4.965
Cr W
2 6
Cartesian
0.000 0.000 0.000
2.483 2.483 2.483
0.000 1.241 2.483
0.000 3.724 2.483
1.241 2.483 0.000
2.483 0.000 1.241
2.483 0.000 3.724
3.724 2.483 0.000



Record 10
CrW2, relaxed, DFT GGA-PBE; symmetry = I4/mmm (139); calculated formation energy = 0.056 eV per atom; total energy = -11.787 eV/atom; ΔE to the lowest computed polymorph = 2 meV per atom; D(E_F) = 1.8 states/eV per cell
1.0
-1.546 1.546 4.624
1.546 -1.546 4.624
1.546 1.546 -4.624
Cr W
1 2
Cartesian
0.000 0.000 0.000
0.000 0.000 3.125
0.000 0.000 6.122



Record 11
CrW2, relaxed, DFT GGA-PBE; symmetry = Pnma (62); calculated formation energy = 0.188 eV per atom; total energy = -11.655 eV/atom; ΔE to the lowest computed polymorph = 135 meV per atom; D(E_F) = 8.8 states/eV per cell
1.0
5.276 0.000 0.000
0.000 4.344 0.000
0.000 0.000 7.789
Cr W
4 8
Cartesian
0.903 1.086 0.575
1.736 3.258 4.469
3.541 1.086 3.320
4.374 3.258 7.214
0.066 1.086 5.878
0.915 1.086 3.254
1.723 3.258 7.149
2.573 3.258 1.983
2.704 1.086 5.806
3.554 1.086 0.640
4.361 3.258 4.535
5.211 3.258 1.911



Record 12
CrW3, relaxed, DFT GGA-PBE; symmetry = Cmmm (65); calculated formation energy = 0.058 eV per atom; total energy = -12.063 eV/atom; D(E_F) = 2.4 states/eV per cell
1.0
1.570 -2.219 0.000
1.570 2.219 0.000
0.000 0.000 8.713
Cr W
1 3
Cartesian
0.000 0.000 0.000
0.000 0.000 4.356
1.570 0.000 2.075
1.570 0.000 6.638